No. 1
A geometry-optimized FeTcRh2 structure, computed with PBE.

DOS(E_F)   4.9 states/eV/f.u.
Calculated total energy   -33.6 eV/f.u.
Energy relative to the elements   -0.01 eV/atom
SG   Cm (8)
Calculated density   10.815 g/cm³

Lattice parameters (Å, degrees): 4.6517 4.6517 4.6626 100.24 100.24 33.85
Closest atoms and distances in Å follow each position.
Element x y z (fractional)
Fe1 0.0000 0.0000 0.0000  7 Rh 2.63-2.72, 3 Tc 2.70-2.77, 2 Fe 2.71
Tc1 0.2518 0.2518 0.7298  7 Rh 2.62-2.72, 3 Fe 2.70-2.77, 2 Tc 2.71
Rh1 0.5010 0.5010 0.5069  3 Tc 2.62-2.65, 4 Fe 2.67-2.72, 5 Rh 2.71-2.77
Rh2 0.7474 0.7474 0.2217  3 Fe 2.63-2.64, 4 Tc 2.67-2.72, 5 Rh 2.71-2.77

---

No. 2
A geometry-optimized FeTc2Rh structure, computed with PBE.

DOS(E_F)   3.8 states/eV/f.u.
Calculated total energy   -36.4 eV/f.u.
Energy relative to the elements   0.04 eV/atom
SG   Pm (6)
Calculated density   10.777 g/cm³

Lattice parameters (Å, degrees): 2.6464 4.1439 5.1507 90.00 104.61 90.00
Closest atoms and distances in Å follow each position.
Element x y z (fractional)
Fe1 0.0000 0.0000 0.0000  2 Rh 2.47, 5 Tc 2.53-2.66, 2 Fe 2.65
Tc1 0.4004 0.5000 0.7988  3 Rh 2.65-2.69, 6 Tc 2.65-2.91, 4 Fe 2.65-2.66
Tc2 0.7409 0.0000 0.4922  3 Fe 2.53-2.79, 2 Tc 2.65, 4 Rh 2.70
Rh1 0.1306 0.5000 0.2682  2 Fe 2.47, 7 Tc 2.65-2.70, 2 Rh 2.65

---

- Which formula does entry 1 have?
  FeTcRh2

---

- Number 2 is which compound?
  FeTc2Rh

---

- Which of these has the highest calculated density?
  FeTcRh2